First-principles (PBE) data for MgNb2Si2 after structural relaxation, as listed in Alexandria via LeMat-Bulk.

extended XYZ file:
```
10
Lattice="6.826 0.000 0.000 0.000 6.826 0.000 0.000 0.000 3.484" Properties=species:S:1:pos:R:3 pbc="T T T"
Mg 0.000 0.000 0.000
Mg 3.413 3.413 0.000
Nb 1.129 2.284 1.742
Nb 2.284 5.697 1.742
Nb 4.542 1.129 1.742
Nb 5.697 4.542 1.742
Si 0.868 4.281 0.000
Si 2.545 0.868 0.000
Si 4.281 5.958 0.000
Si 5.958 2.545 0.000
```

Results
Theoretical density in g cm⁻³: 5.4
Total magnetic moment in μB per cell: 0.00
Raw formation energy in meV/atom: -455
DOS(E_F) in states/eV/atom: 0.8027